No. 1
# SrAg2Te2

A geometry-optimized SrAg2Te2 structure (PBE, the Alexandria database).

Values from the calculation:
ΔE_f (raw)   -0.6736 eV per atom
Size of the total moment   0.0 μB per cell
Final energy   -34.071 eV/cell
Crystal system   triclinic

Cell: 5.135 6.962 9.322 Å, 89.03 74.03 86.24°
Atoms (fractional coordinates):
Sr 0.183 0.251 0.134
Sr 0.817 0.749 0.866
Ag 0.190 0.138 0.635
Ag 0.337 0.638 0.362
Ag 0.663 0.362 0.638
Ag 0.810 0.862 0.365
Te 0.197 0.750 0.107
Te 0.436 0.751 0.629
Te 0.564 0.249 0.371
Te 0.803 0.250 0.893

---

No. 2
# TaAs2PPt

A geometry-optimized TaAs2PPt structure (PBE, the Alexandria database).

Values from the calculation:
ΔE_f   0.96 eV/atom
Fermi-level density of states   0.930 states/eV/atom
Size of the total moment   0.0 μB per cell
Final energy   -27.799 eV/cell
Crystal system   tetragonal

Cell: 4.909 4.909 5.009 Å, 90.00 90.00 90.00°
Atoms (fractional coordinates):
Ta 0.000 0.000 0.000
As 0.000 0.500 0.000
As 0.500 0.000 0.000
P 0.500 0.500 0.500
Pt 0.000 0.000 0.500

---

No. 3
# ScCrTeN2

A geometry-optimized ScCrTeN2 structure (PBE, the Alexandria database).

Values from the calculation:
ΔE to the lowest computed polymorph   951 meV/atom
ΔE_f (raw)   1.1224 eV per atom
Fermi-level density of states   1.466 states/eV/atom
Size of the total moment   0.5 μB per cell
Final energy   -30.135 eV/cell
Crystal system   tetragonal

Cell: 4.061 4.061 5.882 Å, 90.00 90.00 90.00°
Atoms (fractional coordinates):
Sc 0.000 0.000 0.000
Cr 0.500 0.500 0.500
Te 0.000 0.000 0.500
N 0.000 0.500 0.000
N 0.500 0.000 0.000

---

No. 4
# NaPmZn

A geometry-optimized NaPmZn structure (PBE, the Alexandria database).

Values from the calculation:
ΔE_f   0.10 eV/atom
Fermi-level density of states   0.676 states/eV/atom
Size of the total moment   0.0 μB per cell
Final energy   -14.099 eV/cell
Crystal system   orthorhombic

Cell: 15.980 3.520 3.520 Å, 60.01 90.00 90.00°
Atoms (fractional coordinates):
Na 0.152 0.000 0.000
Na 0.848 0.000 0.000
Pm 0.354 0.332 0.332
Pm 0.646 0.332 0.332
Zn 0.000 0.334 0.334
Zn 0.500 0.999 0.999

---

No. 5
# LiTa3Be

A geometry-optimized LiTa3Be structure (PBE, the Alexandria database).

Values from the calculation:
ΔE to the lowest computed polymorph   0 meV/atom
ΔE_f   0.78 eV/atom
Fermi-level density of states   1.234 states/eV/atom
Size of the total moment   0.0 μB per cell
Final energy   -37.279 eV/cell
Crystal system   cubic

Cell: 4.437 4.437 4.437 Å, 90.00 90.00 90.00°
Atoms (fractional coordinates):
Li 0.000 0.000 0.000
Ta 0.000 0.500 0.500
Ta 0.500 0.000 0.500
Ta 0.500 0.500 0.000
Be 0.500 0.500 0.500

---

No. 6
# Pm2ZrIr2

A geometry-optimized Pm2ZrIr2 structure (PBE, the Alexandria database).

Values from the calculation:
ΔE_f   -0.69 eV/atom
Fermi-level density of states   0.833 states/eV/atom
Size of the total moment   0.0 μB per cell
Final energy   -78.428 eV/cell
Crystal system   monoclinic

Cell: 6.458 6.458 11.074 Å, 117.87 117.87 36.62°
Atoms (fractional coordinates):
Pm 0.035 0.035 0.195
Pm 0.167 0.167 0.591
Pm 0.833 0.833 0.409
Pm 0.965 0.965 0.805
Zr 0.291 0.291 0.129
Zr 0.709 0.709 0.871
Ir 0.368 0.368 0.936
Ir 0.498 0.498 0.625
Ir 0.502 0.502 0.375
Ir 0.632 0.632 0.064

---

No. 7
# MgNi2Cl

A geometry-optimized MgNi2Cl structure (PBE, the Alexandria database).

Values from the calculation:
ΔE to the lowest computed polymorph   186 meV/atom
ΔE_f (raw)   0.0166 eV per atom
Fermi-level density of states   0.900 states/eV/atom
Size of the total moment   0.7 μB per cell
Final energy   -14.937 eV/cell
Crystal system   monoclinic

Cell: 4.907 4.907 4.185 Å, 91.54 91.54 36.19°
Atoms (fractional coordinates):
Mg 0.000 0.000 0.000
Ni 0.278 0.278 0.223
Ni 0.722 0.722 0.777
Cl 0.500 0.500 0.500

---

No. 8
# Na2SnHg2

A geometry-optimized Na2SnHg2 structure (PBE, the Alexandria database).

Values from the calculation:
ΔE to the lowest computed polymorph   0 meV/atom
ΔE_f   -0.21 eV/atom
Fermi-level density of states   0.264 states/eV/atom
Size of the total moment   0.0 μB per cell
Final energy   -16.581 eV/cell
Crystal system   monoclinic

Cell: 6.253 6.253 8.773 Å, 105.69 105.69 50.01°
Atoms (fractional coordinates):
Na 0.047 0.585 0.855
Na 0.415 0.953 0.645
Na 0.585 0.047 0.355
Na 0.953 0.415 0.145
Sn 0.243 0.757 0.250
Sn 0.757 0.243 0.750
Hg 0.158 0.625 0.544
Hg 0.375 0.842 0.956
Hg 0.625 0.158 0.044
Hg 0.842 0.375 0.456

---

No. 9
# CeCdTeO5

A geometry-optimized CeCdTeO5 structure (PBE, the Alexandria database).

Values from the calculation:
ΔE_f (raw)   -1.8086 eV per atom
Size of the total moment   0.0 μB per cell
Final energy   -98.502 eV/cell
Crystal system   monoclinic

Cell: 6.240 6.240 8.462 Å, 109.54 109.54 93.85°
Atoms (fractional coordinates):
Ce 0.000 0.000 0.000
Ce 0.000 0.000 0.500
Cd 0.315 0.685 0.750
Cd 0.685 0.315 0.250
Te 0.323 0.677 0.250
Te 0.677 0.323 0.750
O 0.015 0.985 0.750
O 0.237 0.731 0.488
O 0.269 0.763 0.012
O 0.291 0.347 0.155
O 0.347 0.291 0.655
O 0.653 0.709 0.345
O 0.709 0.653 0.845
O 0.731 0.237 0.988
O 0.763 0.269 0.512
O 0.985 0.015 0.250

---

No. 10
# Li2TePdBr

A geometry-optimized Li2TePdBr structure (PBE, the Alexandria database).

Values from the calculation:
ΔE_f (raw)   0.0521 eV per atom
Fermi-level density of states   0.264 states/eV/atom
Size of the total moment   0.0 μB per cell
Final energy   -13.574 eV/cell
Crystal system   tetragonal

Cell: 5.076 5.076 5.893 Å, 90.00 90.00 90.00°
Atoms (fractional coordinates):
Li 0.000 0.500 0.000
Li 0.500 0.000 0.000
Te 0.000 0.000 0.000
Pd 0.500 0.500 0.500
Br 0.000 0.000 0.500

---

No. 11
# BaAuI4

A geometry-optimized BaAuI4 structure (PBE, the Alexandria database).

Values from the calculation:
ΔE to the lowest computed polymorph   0 meV/atom
ΔE_f (raw)   -0.8815 eV per atom
Fermi-level density of states   0.332 states/eV/atom
Size of the total moment   0.0 μB per cell
Final energy   -16.690 eV/cell
Crystal system   monoclinic

Cell: 8.359 8.359 7.859 Å, 105.46 105.46 32.22°
Atoms (fractional coordinates):
Ba 0.000 0.000 0.000
Au 0.500 0.500 0.500
I 0.373 0.373 0.175
I 0.374 0.374 0.680
I 0.626 0.626 0.320
I 0.627 0.627 0.825

---

No. 12
# Nd3ZnCd2

A geometry-optimized Nd3ZnCd2 structure (PBE, the Alexandria database).

Values from the calculation:
ΔE to the lowest computed polymorph   13 meV/atom
ΔE_f   -0.30 eV/atom
Fermi-level density of states   1.226 states/eV/atom
Size of the total moment   0.8 μB per cell
Final energy   -38.449 eV/cell
Crystal system   trigonal

Cell: 5.377 5.377 13.170 Å, 90.00 90.00 120.00°
Atoms (fractional coordinates):
Nd 0.000 0.000 0.244
Nd 0.000 0.000 0.756
Nd 0.333 0.667 0.410
Nd 0.333 0.667 0.916
Nd 0.667 0.333 0.084
Nd 0.667 0.333 0.590
Zn 0.333 0.667 0.164
Zn 0.667 0.333 0.836
Cd 0.000 0.000 0.000
Cd 0.000 0.000 0.500
Cd 0.333 0.667 0.665
Cd 0.667 0.333 0.335